[1]
Below is YScInTc after structural relaxation, with properties calculated at the PBE level.

Computed properties:
**Final energy**: -26.7 eV per formula unit
**Crystal system**: cubic

Cell: 4.9411 4.9411 4.9411 Å, 60.00 60.00 60.00°
Fractional positions:
Y 0.7500 0.7500 0.7500
Sc 0.2500 0.2500 0.2500
Tc 0.5000 0.5000 0.5000
In 0.0000 0.0000 0.0000

***

[2]
Below is Tc2PAu after structural relaxation, with properties calculated at the PBE level.

Computed properties:
**Final energy**: -29.1 eV per formula unit
**Crystal system**: orthorhombic

Cell: 5.1765 5.1765 5.1765 Å, 146.42 128.18 63.17°
Fractional positions:
Tc 0.7932 0.7932 0.0000
Tc 0.2068 0.2068 0.0000
P 0.0000 0.5000 0.5000
Au 0.5000 0.0000 0.5000